Arrangement a

{
  "formula": "Rb2LiI",
  "functional": "PBE-GGA",
  "state": "optimized geometry",
  "dos_ef_per_ev_cell": 0.04,
  "magnetic_moment_mub_per_cell": 0.0,
  "sg": "I-42d, No. 122",
  "lattice": [[-5.018, 5.018, 5.202], [5.018, -5.018, 5.202], [5.018, 5.018, -5.202]],
  "species": ["Rb", "Rb", "Rb", "Rb", "Li", "Li", "I", "I"],
  "fractional_positions": [[0.093, 0.625, 0.968], [0.375, 0.343, 0.468], [0.657, 0.125, 0.032], [0.875, 0.907, 0.532], [0.250, 0.750, 0.500], [0.500, 0.500, 0.000], [0.000, 0.000, 0.000], [0.750, 0.250, 0.500]]
}

=====

Arrangement b

{
  "formula": "Rb2LiI",
  "functional": "PBE-GGA",
  "state": "optimized geometry",
  "dos_ef_per_ev_cell": 1.62,
  "magnetic_moment_mub_per_cell": 0.0,
  "sg": "P4/mmm, No. 123",
  "lattice": [[4.561, 0.000, 0.000], [0.000, 4.561, 0.000], [0.000, 0.000, 9.402]],
  "species": ["Rb", "Rb", "Li", "I"],
  "fractional_positions": [[0.000, 0.000, 0.229], [0.000, 0.000, 0.771], [0.500, 0.500, 0.500], [0.500, 0.500, 0.000]]
}

=====

It is arrangement b that is the most stable of them.

=====

Arrangement a

{
  "formula": "Rb2LiI3",
  "functional": "PBE-GGA",
  "state": "optimized geometry",
  "dos_ef_per_ev_cell": 0.00,
  "magnetic_moment_mub_per_cell": 0.0,
  "sg": "C2/c, No. 15",
  "lattice": [[7.901, -3.733, 0.000], [7.901, 3.733, 0.000], [-2.909, 0.000, 9.118]],
  "species": ["Rb", "Rb", "Rb", "Rb", "Li", "Li", "I", "I", "I", "I", "I", "I"],
  "fractional_positions": [[0.175, 0.176, 0.088], [0.176, 0.175, 0.588], [0.824, 0.825, 0.412], [0.825, 0.824, 0.912], [0.430, 0.570, 0.250], [0.570, 0.430, 0.750], [0.059, 0.941, 0.250], [0.362, 0.363, 0.432], [0.363, 0.362, 0.932], [0.637, 0.638, 0.068], [0.638, 0.637, 0.568], [0.941, 0.059, 0.750]]
}

=====

Arrangement b

{
  "formula": "Rb2LiI3",
  "functional": "PBE-GGA",
  "state": "optimized geometry",
  "dos_ef_per_ev_cell": 0.00,
  "magnetic_moment_mub_per_cell": 0.0,
  "sg": "Pnma, No. 62",
  "lattice": [[10.426, 0.000, 0.000], [0.000, 4.995, 0.000], [0.000, 0.000, 20.200]],
  "species": ["Rb", "Rb", "Rb", "Rb", "Rb", "Rb", "Rb", "Rb", "Li", "Li", "Li", "Li", "I", "I", "I", "I", "I", "I", "I", "I", "I", "I", "I", "I"],
  "fractional_positions": [[0.082, 0.250, 0.213], [0.247, 0.250, 0.954], [0.253, 0.750, 0.454], [0.418, 0.750, 0.713], [0.582, 0.250, 0.287], [0.747, 0.250, 0.546], [0.753, 0.750, 0.046], [0.918, 0.750, 0.787], [0.132, 0.250, 0.634], [0.368, 0.750, 0.134], [0.632, 0.250, 0.866], [0.868, 0.750, 0.366], [0.007, 0.750, 0.602], [0.130, 0.750, 0.073], [0.179, 0.250, 0.770], [0.321, 0.750, 0.270], [0.370, 0.250, 0.573], [0.493, 0.250, 0.102], [0.507, 0.750, 0.898], [0.630, 0.750, 0.427], [0.679, 0.250, 0.730], [0.821, 0.750, 0.230], [0.870, 0.250, 0.927], [0.993, 0.250, 0.398]]
}

=====

It is arrangement b that is the most stable of them.

=====

Arrangement a

{
  "formula": "RbLiI3",
  "functional": "PBE-GGA",
  "state": "optimized geometry",
  "dos_ef_per_ev_cell": 1.06,
  "magnetic_moment_mub_per_cell": 0.0,
  "sg": "C2/m, No. 12",
  "lattice": [[3.384, -11.628, 0.000], [3.384, 11.628, 0.000], [-2.534, 0.000, 5.855]],
  "species": ["Rb", "Rb", "Li", "Li", "I", "I", "I", "I", "I", "I"],
  "fractional_positions": [[0.162, 0.838, 0.000], [0.838, 0.162, 0.000], [0.361, 0.361, 0.747], [0.639, 0.639, 0.253], [0.055, 0.055, 0.272], [0.250, 0.750, 0.500], [0.403, 0.597, 0.000], [0.597, 0.403, 0.000], [0.750, 0.250, 0.500], [0.945, 0.945, 0.728]]
}

=====

Arrangement b

{
  "formula": "RbLiI3",
  "functional": "PBE-GGA",
  "state": "optimized geometry",
  "dos_ef_per_ev_cell": 8.70,
  "magnetic_moment_mub_per_cell": 0.0,
  "sg": "Pm-3m, No. 221",
  "lattice": [[5.802, 0.000, 0.000], [0.000, 5.802, 0.000], [0.000, 0.000, 5.802]],
  "species": ["Rb", "Li", "I", "I", "I"],
  "fractional_positions": [[0.000, 0.000, 0.000], [0.500, 0.500, 0.500], [0.000, 0.500, 0.500], [0.500, 0.000, 0.500], [0.500, 0.500, 0.000]]
}

=====

Arrangement c

{
  "formula": "RbLiI3",
  "functional": "PBE-GGA",
  "state": "optimized geometry",
  "dos_ef_per_ev_cell": 16.12,
  "magnetic_moment_mub_per_cell": 1.0,
  "sg": "Pm-3m, No. 221",
  "lattice": [[6.871, 0.000, 0.000], [0.000, 6.871, 0.000], [0.000, 0.000, 6.871]],
  "species": ["Rb", "Li", "I", "I", "I"],
  "fractional_positions": [[0.000, 0.000, 0.000], [0.500, 0.500, 0.500], [0.000, 0.000, 0.500], [0.000, 0.500, 0.000], [0.500, 0.000, 0.000]]
}

=====

It is arrangement a that is the most stable of them.

=====

Arrangement a

{
  "formula": "RbLi3I",
  "functional": "PBE-GGA",
  "state": "optimized geometry",
  "dos_ef_per_ev_cell": 3.90,
  "magnetic_moment_mub_per_cell": 0.0,
  "sg": "Pm-3m, No. 221",
  "lattice": [[6.279, 0.000, 0.000], [0.000, 6.279, 0.000], [0.000, 0.000, 6.279]],
  "species": ["Rb", "Li", "Li", "Li", "I"],
  "fractional_positions": [[0.000, 0.000, 0.000], [0.000, 0.000, 0.500], [0.000, 0.500, 0.000], [0.500, 0.000, 0.000], [0.500, 0.500, 0.500]]
}

=====

Arrangement b

{
  "formula": "RbLi3I",
  "functional": "PBE-GGA",
  "state": "optimized geometry",
  "dos_ef_per_ev_cell": 2.74,
  "magnetic_moment_mub_per_cell": 0.7,
  "sg": "Pm-3m, No. 221",
  "lattice": [[5.797, 0.000, 0.000], [0.000, 5.797, 0.000], [0.000, 0.000, 5.797]],
  "species": ["Rb", "Li", "Li", "Li", "I"],
  "fractional_positions": [[0.000, 0.000, 0.000], [0.000, 0.500, 0.500], [0.500, 0.000, 0.500], [0.500, 0.500, 0.000], [0.500, 0.500, 0.500]]
}

=====

It is arrangement b that is the most stable of them.

=====

Arrangement a

{
  "formula": "Rb3LiI4",
  "functional": "PBE-GGA",
  "state": "optimized geometry",
  "dos_ef_per_ev_cell": 0.00,
  "magnetic_moment_mub_per_cell": 0.0,
  "sg": "Pnma, No. 62",
  "lattice": [[10.374, 0.000, 0.000], [0.000, 12.779, 0.000], [0.000, 0.000, 11.059]],
  "species": ["Rb", "Rb", "Rb", "Rb", "Rb", "Rb", "Rb", "Rb", "Rb", "Rb", "Rb", "Rb", "Li", "Li", "Li", "Li", "I", "I", "I", "I", "I", "I", "I", "I", "I", "I", "I", "I", "I", "I", "I", "I"],
  "fractional_positions": [[0.041, 0.046, 0.209], [0.041, 0.454, 0.209], [0.105, 0.750, 0.424], [0.395, 0.250, 0.924], [0.459, 0.546, 0.709], [0.459, 0.954, 0.709], [0.541, 0.046, 0.291], [0.541, 0.454, 0.291], [0.605, 0.750, 0.076], [0.895, 0.250, 0.576], [0.959, 0.546, 0.791], [0.959, 0.954, 0.791], [0.204, 0.750, 0.988], [0.296, 0.250, 0.488], [0.704, 0.750, 0.512], [0.796, 0.250, 0.012], [0.032, 0.250, 0.895], [0.182, 0.060, 0.536], [0.182, 0.440, 0.536], [0.195, 0.750, 0.737], [0.305, 0.250, 0.237], [0.318, 0.560, 0.036], [0.318, 0.940, 0.036], [0.468, 0.750, 0.395], [0.532, 0.250, 0.605], [0.682, 0.060, 0.964], [0.682, 0.440, 0.964], [0.695, 0.750, 0.763], [0.805, 0.250, 0.263], [0.818, 0.560, 0.464], [0.818, 0.940, 0.464], [0.968, 0.750, 0.105]]
}

=====

Arrangement b

{
  "formula": "Rb3LiI4",
  "functional": "PBE-GGA",
  "state": "optimized geometry",
  "dos_ef_per_ev_cell": 0.00,
  "magnetic_moment_mub_per_cell": 0.0,
  "sg": "Pmn2_1, No. 31",
  "lattice": [[12.079, 0.000, 0.000], [0.000, 9.945, 0.000], [0.000, 0.000, 7.413]],
  "species": ["Rb", "Rb", "Rb", "Rb", "Rb", "Rb", "Li", "Li", "I", "I", "I", "I", "I", "I", "I", "I"],
  "fractional_positions": [[0.000, 0.141, 0.000], [0.232, 0.331, 0.502], [0.268, 0.669, 0.002], [0.500, 0.859, 0.500], [0.732, 0.669, 0.002], [0.768, 0.331, 0.502], [0.000, 0.818, 0.422], [0.500, 0.182, 0.922], [0.000, 0.101, 0.502], [0.000, 0.789, 0.048], [0.215, 0.699, 0.506], [0.285, 0.301, 0.006], [0.500, 0.211, 0.548], [0.500, 0.899, 0.002], [0.715, 0.301, 0.006], [0.785, 0.699, 0.506]]
}

=====

It is arrangement a that is the most stable of them.

=====

Arrangement a

{
  "formula": "RbLiTeI2",
  "functional": "PBE-GGA",
  "state": "optimized geometry",
  "dos_ef_per_ev_cell": 4.52,
  "magnetic_moment_mub_per_cell": 1.3,
  "sg": "P4/mmm, No. 123",
  "lattice": [[5.923, 0.000, 0.000], [0.000, 5.923, 0.000], [0.000, 0.000, 5.344]],
  "species": ["Rb", "Li", "Te", "I", "I"],
  "fractional_positions": [[0.000, 0.000, 0.000], [0.500, 0.500, 0.500], [0.500, 0.500, 0.000], [0.000, 0.500, 0.500], [0.500, 0.000, 0.500]]
}

=====

Arrangement b

{
  "formula": "RbLiTeI2",
  "functional": "PBE-GGA",
  "state": "optimized geometry",
  "dos_ef_per_ev_cell": 5.81,
  "magnetic_moment_mub_per_cell": 2.1,
  "sg": "P4/mmm, No. 123",
  "lattice": [[6.886, 0.000, 0.000], [0.000, 6.886, 0.000], [0.000, 0.000, 6.652]],
  "species": ["Rb", "Li", "Te", "I", "I"],
  "fractional_positions": [[0.000, 0.000, 0.000], [0.500, 0.500, 0.500], [0.000, 0.000, 0.500], [0.000, 0.500, 0.000], [0.500, 0.000, 0.000]]
}

=====

It is arrangement a that is the most stable of them.